Entry 1:
Compound: MnV6Os
Source: Alexandria via LeMat-Bulk
Functional: PBE-GGA
Structure: relaxed

Results
SG ... Amm2 (38)
N(E_F) ... 0.859 states/eV/atom
Total DFT energy (no corrections) ... -77.1 eV/cell
Formation energy from the elements ... -1.98 eV/f.u.

Cell lengths 4.181, 5.146, 5.146 Å; angles 109.50, 90.00, 90.00 degrees
Positions (direct):
Mn 0.500 0.376 0.624
V 0.000 0.128 0.378
V 0.000 0.622 0.872
V 0.000 0.626 0.374
V 0.500 0.378 0.129
V 0.500 0.871 0.622
V 0.500 0.873 0.127
Os 0.000 0.125 0.875


Entry 2:
Compound: GdHoPuCd
Source: Alexandria via LeMat-Bulk
Functional: PBE-GGA
Structure: relaxed

Results
SG ... F-43m (216)
N(E_F) ... 3.608 states/eV/atom
Total DFT energy (no corrections) ... -33.7 eV/cell
Formation energy from the elements ... 0.24 eV/f.u.

Cell lengths 5.414, 5.414, 5.414 Å; angles 60.00, 60.00, 60.00 degrees
Site moments in Bohr magnetons follow the coordinates.
Positions (direct):
Cd 0.500 0.500 0.500  -0.03
Gd 0.250 0.250 0.250  7.34
Ho 0.750 0.750 0.750  0.36
Pu 0.000 0.000 0.000  5.72


Entry 3:
Compound: Ce6GaTc
Source: Alexandria via LeMat-Bulk
Functional: PBE-GGA
Structure: relaxed

Results
SG ... P-1 (2)
N(E_F) ... 2.369 states/eV/atom
Energy above the most stable polymorph in this dataset ... 0.000 eV per atom
Total DFT energy (no corrections) ... -50.2 eV/cell
Formation energy from the elements ... -1.21 eV/f.u.

Cell lengths 5.971, 5.729, 6.294 Å; angles 85.30, 84.28, 116.78 degrees
Positions (direct):
Ce 0.798 0.765 0.593
Ce 0.518 0.083 0.777
Ce 0.129 0.563 0.767
Ce 0.482 0.917 0.223
Ce 0.202 0.235 0.407
Ce 0.871 0.437 0.233
Ga 0.000 0.000 0.000
Tc 0.500 0.500 0.000


Entry 4:
Compound: NbHgS2
Source: Alexandria via LeMat-Bulk
Functional: PBE-GGA
Structure: relaxed

Results
SG ... Pnma (62)
N(E_F) ... 0.223 states/eV/atom
ΔE_f (raw) ... -0.519 eV per atom
Total DFT energy (no corrections) ... -82.8 eV/cell

Cell lengths 7.312, 4.793, 10.762 Å; angles 90.00, 90.00, 90.00 degrees
Positions (direct):
S 0.877 0.250 0.404
S 0.623 0.750 0.904
S 0.123 0.750 0.596
S 0.377 0.250 0.096
S 0.286 0.250 0.776
S 0.214 0.750 0.276
S 0.714 0.750 0.224
S 0.786 0.250 0.724
Nb 0.036 0.250 0.603
Nb 0.464 0.750 0.103
Nb 0.964 0.750 0.397
Nb 0.536 0.250 0.897
Hg 0.398 0.250 0.444
Hg 0.102 0.750 0.944
Hg 0.602 0.750 0.556
Hg 0.898 0.250 0.056


Entry 5:
Compound: Tb2CBr
Source: Alexandria via LeMat-Bulk
Functional: PBE-GGA
Structure: relaxed

Results
SG ... P6_3/mmc (194)
N(E_F) ... 0.465 states/eV/atom
ΔE_f (raw) ... -0.965 eV per atom
Total DFT energy (no corrections) ... -48.0 eV/cell

Cell lengths 3.706, 3.706, 14.225 Å; angles 90.00, 90.00, 120.00 degrees
Positions (direct):
Tb 0.333 0.667 0.590
Tb 0.667 0.333 0.410
Tb 0.667 0.333 0.090
Tb 0.333 0.667 0.910
C 0.000 0.000 0.000
C 0.000 0.000 0.500
Br 0.333 0.667 0.250
Br 0.667 0.333 0.750


Entry 6:
Compound: ErTmCoAu
Source: Alexandria via LeMat-Bulk
Functional: PBE-GGA
Structure: relaxed

Results
SG ... F-43m (216)
N(E_F) ... 0.737 states/eV/atom
Total DFT energy (no corrections) ... -21.4 eV/cell
Formation energy from the elements ... -1.94 eV/f.u.

Cell lengths 4.872, 4.872, 4.872 Å; angles 60.00, 60.00, 60.00 degrees
Site moments in Bohr magnetons follow the coordinates.
Positions (direct):
Co 0.750 0.750 0.750  0.69
Tm 0.500 0.500 0.500  -0.10
Au 0.250 0.250 0.250  0.00
Er 0.000 0.000 0.000  -0.09


Entry 7:
Compound: CsNb3Au
Source: Alexandria via LeMat-Bulk
Functional: PBE-GGA
Structure: relaxed

Results
SG ... Pm-3m (221)
N(E_F) ... 1.509 states/eV/atom
Energy above the most stable polymorph in this dataset ... 0.000 eV per atom
Total DFT energy (no corrections) ... -25.4 eV/cell
Formation energy from the elements ... 8.95 eV/f.u.

Cell lengths 5.214, 5.214, 5.214 Å; angles 90.00, 90.00, 90.00 degrees
Site moments in Bohr magnetons follow the coordinates.
Positions (direct):
Cs 0.500 0.500 0.500  0.09
Nb 0.000 0.500 0.000  0.75
Nb 0.000 0.000 0.500  0.81
Nb 0.500 0.000 0.000  0.81
Au 0.000 0.000 0.000  0.03


Entry 8:
Compound: Co2ReHg
Source: Alexandria via LeMat-Bulk
Functional: PBE-GGA
Structure: relaxed

Results
SG ... Amm2 (38)
N(E_F) ... 1.234 states/eV/atom
Total DFT energy (no corrections) ... -25.0 eV/cell
Formation energy from the elements ... 1.99 eV/f.u.

Cell lengths 4.088, 2.714, 5.280 Å; angles 75.10, 90.00, 90.00 degrees
Site moments in Bohr magnetons follow the coordinates.
Positions (direct):
Co 0.000 0.195 0.984  0.86
Co 0.500 0.069 0.237  1.22
Hg 0.000 0.453 0.468  -0.01
Re 0.500 0.782 0.811  -0.03


Entry 9:
Compound: Co3CuNi5
Source: Alexandria via LeMat-Bulk
Functional: PBE-GGA
Structure: relaxed

Results
SG ... P6_3/mcm (193)
N(E_F) ... 1.474 states/eV/atom
Total DFT energy (no corrections) ... -106.0 eV/cell
Formation energy from the elements ... 1.32 eV/f.u.

Cell lengths 4.859, 6.937, 6.937 Å; angles 120.00, 90.00, 90.00 degrees
Site moments in Bohr magnetons follow the coordinates.
Positions (direct):
Co 0.750 0.338 0.000  1.78
Co 0.750 0.662 0.662  1.78
Co 0.750 0.000 0.338  1.78
Co 0.250 0.662 0.000  1.78
Co 0.250 0.338 0.338  1.78
Co 0.250 0.000 0.662  1.78
Cu 0.000 0.000 0.000  0.04
Cu 0.500 0.000 0.000  0.04
Ni 0.000 0.333 0.667  0.63
Ni 0.500 0.667 0.333  0.63
Ni 0.000 0.667 0.333  0.63
Ni 0.500 0.333 0.667  0.63
Ni 0.750 0.667 0.000  0.76
Ni 0.750 0.333 0.333  0.76
Ni 0.750 0.000 0.667  0.76
Ni 0.250 0.333 0.000  0.76
Ni 0.250 0.667 0.667  0.76
Ni 0.250 0.000 0.333  0.76


Entry 10:
Compound: CsTiTlCu2
Source: Alexandria via LeMat-Bulk
Functional: PBE-GGA
Structure: relaxed

Results
SG ... P4/mmm (123)
N(E_F) ... 1.121 states/eV/atom
Total DFT energy (no corrections) ... -10.3 eV/cell
Formation energy from the elements ... 8.98 eV/f.u.

Cell lengths 5.406, 6.228, 5.406 Å; angles 90.00, 90.00, 90.00 degrees
Site moments in Bohr magnetons follow the coordinates.
Positions (direct):
Cs 0.000 0.000 0.000  0.00
Tl 0.000 0.500 0.000  0.03
Cu 0.000 0.000 0.500  -0.01
Cu 0.500 0.000 0.000  0.00
Ti 0.500 0.500 0.500  1.98


Entry 11:
Compound: La2PmPb2
Source: Alexandria via LeMat-Bulk
Functional: PBE-GGA
Structure: relaxed

Results
SG ... Cmcm (63)
N(E_F) ... 0.839 states/eV/atom
Energy above the most stable polymorph in this dataset ... 0.037 eV per atom
Total DFT energy (no corrections) ... -49.2 eV/cell
Formation energy from the elements ... -2.60 eV/f.u.

Cell lengths 5.211, 6.792, 10.014 Å; angles 90.00, 105.08, 90.00 degrees
Positions (direct):
La 0.000 0.727 0.000
La 0.806 0.477 0.613
La 0.194 0.977 0.387
La 0.000 0.227 0.000
Pm 0.399 0.977 0.797
Pm 0.601 0.477 0.203
Pb 0.423 0.477 0.846
Pb 0.811 0.977 0.622
Pb 0.189 0.477 0.378
Pb 0.577 0.977 0.154


Entry 12:
Compound: YAlSi
Source: Alexandria via LeMat-Bulk
Functional: PBE-GGA
Structure: relaxed

Results
SG ... Fmm2 (42)
N(E_F) ... 0.398 states/eV/atom
ΔE_f (raw) ... -0.290 eV per atom
Total DFT energy (no corrections) ... -16.5 eV/cell

Cell lengths 5.989, 5.739, 3.482 Å; angles 76.69, 68.84, 34.46 degrees
Positions (direct):
Y 0.327 0.327 0.673
Si 0.647 0.647 0.353
Al 0.026 0.026 0.974